# ZrSi2Au | Alexandria | PBE | optimized geometry
# - N(E_F): 1.334 states/eV/atom
# - Total DFT energy (no corrections): -5.6610 eV per atom
# - Energy relative to the elements, uncorrected: 0.007 eV/atom
# - Volume: 17.28 Å³ per atom
# - Size of the total moment: 0.0 μB per formula unit
data_ZrSi2Au
_chemical_formula_sum 'Zr4 Si8 Au4'
_cell_length_a 6.515
_cell_length_b 6.515
_cell_length_c 6.515
_cell_angle_alpha 90.00
_cell_angle_beta 90.00
_cell_angle_gamma 90.00
_space_group_name_H-M_alt 'F m -3 m'
_space_group_IT_number 225
_space_group_name_Hall '-F 4 2 3'
loop_
_atom_site_label
_atom_site_type_symbol
_atom_site_fract_x
_atom_site_fract_y
_atom_site_fract_z
Zr1 Zr 0.000 0.000 0.000
Si1 Si 0.250 0.250 0.250
Au1 Au 0.000 0.000 0.500